K2YW | GGA-PBE | optimized geometry

a b c (Å): 3.069 6.106 6.556
angles (deg): 90.00 90.00 90.00
Space group Pmmm (No. 47)
One atom of each set of equivalent atoms:
1 K 0.000 0.238 0.000 [2 per cell]
2 Y 0.500 0.500 0.500 [1 per cell]
3 W 0.500 0.000 0.500 [1 per cell]

Computed properties:
Relative energy among the computed polymorphs   47.6 kJ per mole of atoms
ΔH_f (0 K)   556 kJ/mol of formula units
D(E_F)   5.18 states/eV per cell
Theoretical density   4.7 g/cm3
Total moment   1.40 μB/f.u.